A relaxed MnCdRe crystal. Source: Alexandria, functional PBE-GGA.

Cell: 2.7725 2.7725 6.9200 Å, 90.00 90.00 120.00°
With the nearest neighbours (Å) after each atom.
Space group P3m1 (No. 156)
Unique sites:
1 Mn 0.0000 0.0000 0.0000  3 Re 2.49, 6 Mn 2.77
2 Cd 0.3333 0.6667 0.6538  6 Cd 2.77, 3 Mn 2.88, 3 Re 3.07
3 Re 0.6667 0.3333 0.2756  3 Mn 2.49, 6 Re 2.77

Properties
- Formation energy from the elements: 0.37 eV per atom
- Crystal system: trigonal